[1]
## Mo2AsOs (GGA-PBE)

Data for Mo2AsOs after structural relaxation.

Properties
ΔE_f ... 0.4090 eV/atom
Symmetry ... No. 35
Calculated density ... 12.07 g/cm3

Cell lengths 3.1082, 4.6496, 8.7047 Å; angles 90.00, 90.00, 90.00 degrees
Fractional positions:
Mo (0.0000, 0.0000, 0.0000)
Mo (0.0000, 0.5000, 0.2539)
Mo (0.5000, 0.0000, 0.2539)
Mo (0.5000, 0.5000, 0.0000)
As (0.0000, 0.0000, 0.5030)
As (0.5000, 0.5000, 0.5030)
Os (0.0000, 0.5000, 0.7551)
Os (0.5000, 0.0000, 0.7551)

[2]
## La3Pr2TmTe6 (GGA-PBE)

Data for La3Pr2TmTe6 after structural relaxation.

Properties
Raw formation energy ... -142.5 kJ per mole of atoms
Symmetry ... No. 12
Calculated density ... 6.92 g/cm3

Cell lengths 10.0869, 10.0869, 9.0799 Å; angles 102.49, 102.49, 25.77 degrees
Fractional positions:
La (0.0000, 0.0000, 0.0000)
La (0.3276, 0.3276, 0.6653)
La (0.6724, 0.6724, 0.3347)
Pr (0.3309, 0.3309, 0.1643)
Pr (0.6691, 0.6691, 0.8357)
Tm (0.0000, 0.0000, 0.5000)
Te (0.1585, 0.1585, 0.5805)
Te (0.1658, 0.1658, 0.0817)
Te (0.4989, 0.4989, 0.7344)
Te (0.5011, 0.5011, 0.2656)
Te (0.8342, 0.8342, 0.9183)
Te (0.8415, 0.8415, 0.4195)

[3]
## TaBeNb2As (GGA-PBE)

Data for TaBeNb2As after structural relaxation.

Properties
ΔE_f ... 0.6251 eV/atom
Symmetry ... No. 123
Calculated density ... 8.18 g/cm3

Cell lengths 4.8533, 4.8533, 3.8840 Å; angles 90.00, 90.00, 90.00 degrees
Fractional positions:
Ta (0.0000, 0.0000, 0.0000)
Be (0.5000, 0.5000, 0.0000)
Nb (0.0000, 0.5000, 0.5000)
Nb (0.5000, 0.0000, 0.5000)
As (0.5000, 0.5000, 0.5000)

[4]
## LiPrAlPt (GGA-PBE)

Data for LiPrAlPt after structural relaxation.

Properties
ΔE_f ... -0.5146 eV/atom
Symmetry ... No. 38
Calculated density ... 7.27 g/cm3

Cell lengths 4.0864, 3.7106, 11.1426 Å; angles 90.00, 90.00, 90.00 degrees
Fractional positions:
Li (0.0000, 0.0000, 0.0000)
Li (0.0000, 0.5000, 0.5000)
Pr (0.0000, 0.0000, 0.7406)
Pr (0.0000, 0.5000, 0.2406)
Al (0.5000, 0.0000, 0.4583)
Al (0.5000, 0.5000, 0.9583)
Pt (0.5000, 0.0000, 0.1232)
Pt (0.5000, 0.5000, 0.6232)

[5]
## Hf2BiSb (GGA-PBE)

Data for Hf2BiSb after structural relaxation.

Properties
Raw formation energy ... -19.9 kJ per mole of atoms
Symmetry ... No. 160
Calculated density ... 11.24 g/cm3

Cell lengths 4.0502, 4.0502, 21.4611 Å; angles 90.00, 90.00, 120.00 degrees
Fractional positions:
Hf (0.0000, 0.0000, 0.0000)
Hf (0.0000, 0.0000, 0.1796)
Hf (0.3333, 0.6667, 0.6667)
Hf (0.3333, 0.6667, 0.8463)
Hf (0.6667, 0.3333, 0.3333)
Hf (0.6667, 0.3333, 0.5129)
Bi (0.0000, 0.0000, 0.4222)
Bi (0.3333, 0.6667, 0.0889)
Bi (0.6667, 0.3333, 0.7555)
Sb (0.0000, 0.0000, 0.5908)
Sb (0.3333, 0.6667, 0.2575)
Sb (0.6667, 0.3333, 0.9241)

[6]
## Sr2EuGe (GGA-PBE)

Data for Sr2EuGe after structural relaxation.

Properties
ΔE_f ... -0.0444 eV/atom
Symmetry ... No. 166
Calculated density ... 3.81 g/cm3

Cell lengths 4.0987, 4.0987, 35.9120 Å; angles 90.00, 90.00, 120.00 degrees
Fractional positions:
Sr (0.0000, 0.0000, 0.1091)
Sr (0.0000, 0.0000, 0.8909)
Sr (0.3333, 0.6667, 0.5576)
Sr (0.3333, 0.6667, 0.7757)
Sr (0.6667, 0.3333, 0.2243)
Sr (0.6667, 0.3333, 0.4424)
Eu (0.0000, 0.0000, 0.0000)
Eu (0.3333, 0.6667, 0.6667)
Eu (0.6667, 0.3333, 0.3333)
Ge (0.0000, 0.0000, 0.5000)
Ge (0.3333, 0.6667, 0.1667)
Ge (0.6667, 0.3333, 0.8333)

[7]
## La5Tb2Pr12 (GGA-PBE)

Data for La5Tb2Pr12 after structural relaxation.

Properties
ΔE_f ... 0.1800 eV/atom
Symmetry ... No. 12
Calculated density ... 6.42 g/cm3

Cell lengths 10.4748, 10.4748, 8.9726 Å; angles 110.18, 110.18, 50.16 degrees
Fractional positions:
La (0.0000, 0.0000, 0.0000)
La (0.2493, 0.2493, 0.7684)
La (0.3009, 0.3009, 0.2907)
La (0.6991, 0.6991, 0.7093)
La (0.7507, 0.7507, 0.2316)
Tb (0.3262, 0.6738, 0.5000)
Tb (0.6738, 0.3262, 0.5000)
Pr (0.0539, 0.6528, 0.6095)
Pr (0.0621, 0.0621, 0.6715)
Pr (0.1158, 0.6090, 0.0331)
Pr (0.3472, 0.9461, 0.3905)
Pr (0.3910, 0.8842, 0.9669)
Pr (0.4609, 0.4609, 0.8096)
Pr (0.5391, 0.5391, 0.1904)
Pr (0.6090, 0.1158, 0.0331)
Pr (0.6528, 0.0539, 0.6095)
Pr (0.8842, 0.3910, 0.9669)
Pr (0.9379, 0.9379, 0.3285)
Pr (0.9461, 0.3472, 0.3905)

[8]
## CaCd3Hg (GGA-PBE)

Data for CaCd3Hg after structural relaxation.

Properties
ΔE_f ... -0.2306 eV/atom
Symmetry ... No. 11
Calculated density ... 7.62 g/cm3

Cell lengths 5.6737, 6.1750, 7.6342 Å; angles 90.00, 109.65, 90.00 degrees
Fractional positions:
Ca (0.2366, 0.2500, 0.1517)
Ca (0.7634, 0.7500, 0.8483)
Cd (0.1968, 0.0131, 0.6921)
Cd (0.1968, 0.4869, 0.6921)
Cd (0.3264, 0.7500, 0.4114)
Cd (0.6736, 0.2500, 0.5886)
Cd (0.8032, 0.5131, 0.3079)
Cd (0.8032, 0.9869, 0.3079)
Hg (0.3392, 0.7500, 0.0404)
Hg (0.6608, 0.2500, 0.9596)

[9]
## NdTmIrPt (GGA-PBE)

Data for NdTmIrPt after structural relaxation.

Properties
ΔE_f ... -0.9229 eV/atom
Symmetry ... No. 216
Calculated density ... 13.57 g/cm3

Cell lengths 6.9990, 6.9990, 6.9990 Å; angles 90.00, 90.00, 90.00 degrees
Fractional positions:
Nd (0.0000, 0.0000, 0.0000)
Nd (0.0000, 0.5000, 0.5000)
Nd (0.5000, 0.0000, 0.5000)
Nd (0.5000, 0.5000, 0.0000)
Tm (0.0000, 0.0000, 0.5000)
Tm (0.0000, 0.5000, 0.0000)
Tm (0.5000, 0.0000, 0.0000)
Tm (0.5000, 0.5000, 0.5000)
Ir (0.2500, 0.2500, 0.2500)
Ir (0.2500, 0.7500, 0.7500)
Ir (0.7500, 0.2500, 0.7500)
Ir (0.7500, 0.7500, 0.2500)
Pt (0.2500, 0.2500, 0.7500)
Pt (0.2500, 0.7500, 0.2500)
Pt (0.7500, 0.2500, 0.2500)
Pt (0.7500, 0.7500, 0.7500)

[10]
## Hf2ReSbF (GGA-PBE)

Data for Hf2ReSbF after structural relaxation.

Properties
Raw formation energy ... -15.9 kJ per mole of atoms
Symmetry ... No. 123
Calculated density ... 12.67 g/cm3

Cell lengths 4.2613, 4.2613, 4.9354 Å; angles 90.00, 90.00, 90.00 degrees
Fractional positions:
Hf (0.0000, 0.5000, 0.0000)
Hf (0.5000, 0.0000, 0.0000)
Re (0.0000, 0.0000, 0.5000)
Sb (0.5000, 0.5000, 0.5000)
F (0.5000, 0.5000, 0.0000)

[11]
## AlTlHg2Pd (GGA-PBE)

Data for AlTlHg2Pd after structural relaxation.

Properties
ΔE_f ... 0.5098 eV/atom
Symmetry ... No. 123
Calculated density ... 8.85 g/cm3

Cell lengths 5.1063, 5.1063, 5.3148 Å; angles 90.00, 90.00, 90.00 degrees
Fractional positions:
Al (0.0000, 0.0000, 0.0000)
Tl (0.0000, 0.0000, 0.5000)
Hg (0.0000, 0.5000, 0.0000)
Hg (0.5000, 0.0000, 0.0000)
Pd (0.5000, 0.5000, 0.5000)

[12]
## TbScTl6 (GGA-PBE)

Data for TbScTl6 after structural relaxation.

Properties
ΔE_f ... -0.1717 eV/atom
Symmetry ... No. 123
Calculated density ... 11.24 g/cm3

Cell lengths 4.7296, 4.7296, 9.4418 Å; angles 90.00, 90.00, 90.00 degrees
Fractional positions:
Tb (0.0000, 0.0000, 0.0000)
Sc (0.0000, 0.0000, 0.5000)
Tl (0.0000, 0.5000, 0.2561)
Tl (0.0000, 0.5000, 0.7439)
Tl (0.5000, 0.0000, 0.2561)
Tl (0.5000, 0.0000, 0.7439)
Tl (0.5000, 0.5000, 0.0000)
Tl (0.5000, 0.5000, 0.5000)

[13]
## LiNdNi10 (GGA-PBE)

Data for LiNdNi10 after structural relaxation.

Properties
ΔE_f ... -0.0722 eV/atom
Symmetry ... No. 47
Calculated density ... 7.62 g/cm3

Cell lengths 3.9798, 4.8195, 8.3843 Å; angles 90.00, 90.00, 90.00 degrees
Fractional positions:
Li (0.0000, 0.0000, 0.0000)
Nd (0.0000, 0.5000, 0.5000)
Ni (0.0000, 0.0000, 0.3138)
Ni (0.0000, 0.0000, 0.6862)
Ni (0.0000, 0.5000, 0.1547)
Ni (0.0000, 0.5000, 0.8453)
Ni (0.5000, 0.0000, 0.5000)
Ni (0.5000, 0.2491, 0.2449)
Ni (0.5000, 0.2491, 0.7551)
Ni (0.5000, 0.5000, 0.0000)
Ni (0.5000, 0.7509, 0.2449)
Ni (0.5000, 0.7509, 0.7551)

Calculated uncorrected energy, -8.976; -5.448; -7.448; -4.634; -7.184; -4.608; -4.623; -1.240; -6.958; -7.834; -1.871; -3.317; -5.447 eV/atom (same order as the records).